{
  "formula": "Ho2USe6",
  "functional": "PBE",
  "state": "optimized geometry",
  "cell": [[6.636, 0.000, 0.000], [0.000, 6.636, 0.000], [0.000, 0.000, 12.410]],
  "species": ["Ho", "Ho", "Ho", "Ho", "U", "U", "Se", "Se", "Se", "Se", "Se", "Se", "Se", "Se", "Se", "Se", "Se", "Se"],
  "frac_coords": [[0.000, 0.000, 0.164], [0.000, 0.000, 0.836], [0.500, 0.500, 0.336], [0.500, 0.500, 0.664], [0.000, 0.000, 0.500], [0.500, 0.500, 0.000], [0.194, 0.194, 0.340], [0.194, 0.194, 0.660], [0.208, 0.208, 0.000], [0.292, 0.708, 0.500], [0.306, 0.694, 0.160], [0.306, 0.694, 0.840], [0.694, 0.306, 0.160], [0.694, 0.306, 0.840], [0.708, 0.292, 0.500], [0.792, 0.792, 0.000], [0.806, 0.806, 0.340], [0.806, 0.806, 0.660]],
  "raw_formation_energy_ev_per_atom": -1.34
}



{
  "formula": "Pr2ZrGe3Rh4",
  "functional": "PBE",
  "state": "optimized geometry",
  "cell": [[4.198, 0.000, 0.000], [0.000, 4.198, 0.000], [0.000, 0.000, 10.985]],
  "species": ["Pr", "Pr", "Zr", "Ge", "Ge", "Ge", "Rh", "Rh", "Rh", "Rh"],
  "frac_coords": [[0.000, 0.500, 0.235], [0.500, 0.000, 0.765], [0.000, 0.000, 0.500], [0.000, 0.500, 0.877], [0.500, 0.000, 0.123], [0.500, 0.500, 0.500], [0.000, 0.000, 0.000], [0.000, 0.500, 0.649], [0.500, 0.000, 0.351], [0.500, 0.500, 0.000]],
  "formation_energy_mev_per_atom": -886
}



{
  "formula": "KBa2Ir",
  "functional": "PBE",
  "state": "optimized geometry",
  "cell": [[3.983, -2.296, 0.000], [3.983, 2.296, 0.000], [-2.534, 0.000, 11.217]],
  "species": ["K", "Ba", "Ba", "Ir"],
  "frac_coords": [[0.000, 0.000, 0.000], [0.212, 0.212, 0.643], [0.788, 0.788, 0.357], [0.500, 0.500, 0.500]],
  "formation_energy_mev_per_atom": -46
}



{
  "formula": "NiHg2Sb2",
  "functional": "PBE",
  "state": "optimized geometry",
  "cell": [[6.608, 0.000, 0.000], [0.000, 6.608, 0.000], [0.000, 0.000, 6.047]],
  "species": ["Ni", "Ni", "Hg", "Hg", "Hg", "Hg", "Sb", "Sb", "Sb", "Sb"],
  "frac_coords": [[0.000, 0.000, 0.000], [0.500, 0.500, 0.000], [0.172, 0.328, 0.500], [0.328, 0.828, 0.500], [0.672, 0.172, 0.500], [0.828, 0.672, 0.500], [0.157, 0.343, 0.000], [0.343, 0.843, 0.000], [0.657, 0.157, 0.000], [0.843, 0.657, 0.000]],
  "raw_formation_energy_ev_per_atom": 0.04
}



{
  "formula": "Co2RuPtAu",
  "functional": "PBE",
  "state": "optimized geometry",
  "cell": [[4.565, 0.000, 0.000], [0.000, 4.565, 0.000], [0.000, 0.000, 4.844]],
  "species": ["Co", "Co", "Ru", "Pt", "Au"],
  "frac_coords": [[0.000, 0.500, 0.000], [0.500, 0.000, 0.000], [0.000, 0.000, 0.500], [0.000, 0.000, 0.000], [0.500, 0.500, 0.500]],
  "formation_energy_mev_per_atom": 1436
}



{
  "formula": "MoWBr",
  "functional": "PBE",
  "state": "optimized geometry",
  "cell": [[0.000, 3.077, 3.077], [3.077, 0.000, 3.077], [3.077, 3.077, 0.000]],
  "species": ["Mo", "W", "Br"],
  "frac_coords": [[0.000, 0.000, 0.000], [0.250, 0.250, 0.250], [0.750, 0.750, 0.750]],
  "raw_formation_energy_ev_per_atom": 1.29
}



{
  "formula": "Ac2SmDySb4",
  "functional": "PBE",
  "state": "optimized geometry",
  "cell": [[7.993, 0.000, 0.000], [0.000, 4.617, 0.000], [-2.664, 0.000, 7.536]],
  "species": ["Ac", "Ac", "Sm", "Dy", "Sb", "Sb", "Sb", "Sb"],
  "frac_coords": [[0.000, 0.000, 0.000], [0.000, 0.500, 0.500], [0.500, 0.000, 0.500], [0.500, 0.500, 0.000], [0.270, 0.500, 0.254], [0.271, 0.000, 0.760], [0.729, 0.000, 0.240], [0.730, 0.500, 0.746]],
  "raw_formation_energy_ev_per_atom": -1.17
}



{
  "formula": "Li2TaSi",
  "functional": "PBE",
  "state": "optimized geometry",
  "cell": [[-1.802, 1.802, 4.901], [1.802, -1.802, 4.901], [1.802, 1.802, -4.901]],
  "species": ["Li", "Li", "Ta", "Si"],
  "frac_coords": [[0.250, 0.750, 0.500], [0.750, 0.250, 0.500], [0.000, 0.000, 0.000], [0.500, 0.500, 0.000]],
  "raw_formation_energy_ev_per_atom": 0.04
}



{
  "formula": "CsPuAl2Cl8",
  "functional": "PBE",
  "state": "optimized geometry",
  "cell": [[3.404, 1.965, 9.902], [-3.404, 1.965, 9.902], [0.000, -3.930, 9.902]],
  "species": ["Cs", "Pu", "Al", "Al", "Cl", "Cl", "Cl", "Cl", "Cl", "Cl", "Cl", "Cl"],
  "frac_coords": [[0.000, 0.000, 0.000], [0.500, 0.500, 0.500], [0.248, 0.248, 0.248], [0.752, 0.752, 0.752], [0.084, 0.461, 0.782], [0.218, 0.916, 0.539], [0.322, 0.322, 0.322], [0.461, 0.782, 0.084], [0.539, 0.218, 0.916], [0.678, 0.678, 0.678], [0.782, 0.084, 0.461], [0.916, 0.539, 0.218]],
  "raw_formation_energy_ev_per_atom": -1.48
}



{
  "formula": "CoCuNi2",
  "functional": "PBE",
  "state": "optimized geometry",
  "cell": [[2.612, 0.000, 0.000], [0.000, 4.129, 0.000], [0.000, 0.000, 4.175]],
  "species": ["Co", "Cu", "Ni", "Ni"],
  "frac_coords": [[0.000, 0.000, 0.000], [0.500, 0.000, 0.500], [0.000, 0.500, 0.500], [0.500, 0.500, 0.000]],
  "formation_energy_mev_per_atom": 152
}



{
  "formula": "SiHIr2O",
  "functional": "PBE",
  "state": "optimized geometry",
  "cell": [[4.552, 0.000, 0.000], [0.000, 4.552, 0.000], [0.000, 0.000, 3.009]],
  "species": ["Si", "H", "Ir", "Ir", "O"],
  "frac_coords": [[0.000, 0.000, 0.000], [0.000, 0.000, 0.500], [0.000, 0.500, 0.000], [0.500, 0.000, 0.000], [0.500, 0.500, 0.500]],
  "final_energy_ev_per_atom": -5.27
}



{
  "formula": "Tb2PrErTh",
  "functional": "PBE",
  "state": "optimized geometry",
  "cell": [[8.599, 0.000, 0.000], [0.000, 6.438, 0.000], [-1.024, 0.000, 6.270]],
  "species": ["Tb", "Tb", "Tb", "Tb", "Pr", "Pr", "Er", "Er", "Th", "Th"],
  "frac_coords": [[0.184, 0.184, 0.299], [0.184, 0.816, 0.799], [0.816, 0.184, 0.201], [0.816, 0.816, 0.701], [0.500, 0.500, 0.000], [0.500, 0.500, 0.500], [0.000, 0.328, 0.750], [0.000, 0.672, 0.250], [0.500, 0.047, 0.750], [0.500, 0.953, 0.250]],
  "formation_energy_mev_per_atom": 334
}



{
  "formula": "CdSeCl",
  "functional": "PBE",
  "state": "optimized geometry",
  "cell": [[-1.636, 1.636, 7.191], [1.636, -1.636, 7.191], [1.636, 1.636, -7.191]],
  "species": ["Cd", "Se", "Cl"],
  "frac_coords": [[0.000, 0.000, 0.000], [0.366, 0.366, 0.000], [0.612, 0.612, 0.000]],
  "raw_formation_energy_ev_per_atom": -0.29
}



{
  "formula": "BeNiPd2Rh",
  "functional": "PBE",
  "state": "optimized geometry",
  "cell": [[4.836, 0.000, 0.000], [0.000, 4.836, 0.000], [0.000, 0.000, 3.942]],
  "species": ["Be", "Ni", "Pd", "Pd", "Rh"],
  "frac_coords": [[0.000, 0.000, 0.000], [0.500, 0.500, 0.000], [0.000, 0.500, 0.500], [0.500, 0.000, 0.500], [0.000, 0.000, 0.500]],
  "formation_energy_mev_per_atom": 1147
}



{
  "formula": "Y4OsCl",
  "functional": "PBE",
  "state": "optimized geometry",
  "cell": [[0.000, 4.325, 4.325], [4.325, 0.000, 4.325], [4.325, 4.325, 0.000]],
  "species": ["Y", "Y", "Y", "Y", "Os", "Cl"],
  "frac_coords": [[0.377, 0.377, 0.377], [0.377, 0.377, 0.868], [0.377, 0.868, 0.377], [0.868, 0.377, 0.377], [0.750, 0.750, 0.750], [0.000, 0.000, 0.000]],
  "raw_formation_energy_ev_per_atom": 0.86
}



{
  "formula": "TaNb2AgH",
  "functional": "PBE",
  "state": "optimized geometry",
  "cell": [[4.133, 0.000, 0.000], [0.000, 4.133, 0.000], [0.000, 0.000, 4.333]],
  "species": ["Ta", "Nb", "Nb", "Ag", "H"],
  "frac_coords": [[0.000, 0.000, 0.000], [0.000, 0.500, 0.500], [0.500, 0.000, 0.500], [0.500, 0.500, 0.000], [0.000, 0.000, 0.500]],
  "final_energy_ev_per_atom": -7.53
}



{
  "formula": "Er2HfNb",
  "functional": "PBE",
  "state": "optimized geometry",
  "cell": [[1.600, 0.924, 11.102], [-1.600, 0.924, 11.102], [0.000, -1.847, 11.102]],
  "species": ["Er", "Er", "Hf", "Nb"],
  "frac_coords": [[0.087, 0.087, 0.087], [0.913, 0.913, 0.913], [0.500, 0.500, 0.500], [0.000, 0.000, 0.000]],
  "formation_energy_mev_per_atom": 497
}



{
  "formula": "La2Al12Co3Cu",
  "functional": "PBE",
  "state": "optimized geometry",
  "cell": [[4.318, 2.493, 6.178], [-4.318, 2.493, 6.178], [0.000, -4.985, 6.178]],
  "species": ["La", "La", "Al", "Al", "Al", "Al", "Al", "Al", "Al", "Al", "Al", "Al", "Al", "Al", "Co", "Co", "Co", "Cu"],
  "frac_coords": [[0.103, 0.103, 0.103], [0.897, 0.897, 0.897], [0.140, 0.613, 0.613], [0.221, 0.221, 0.571], [0.221, 0.571, 0.221], [0.387, 0.387, 0.860], [0.387, 0.860, 0.387], [0.429, 0.779, 0.779], [0.571, 0.221, 0.221], [0.613, 0.140, 0.613], [0.613, 0.613, 0.140], [0.779, 0.429, 0.779], [0.779, 0.779, 0.429], [0.860, 0.387, 0.387], [0.000, 0.500, 0.500], [0.500, 0.000, 0.500], [0.500, 0.500, 0.000], [0.500, 0.500, 0.500]],
  "formation_energy_mev_per_atom": 61
}



{
  "formula": "YZrCl",
  "functional": "PBE",
  "state": "optimized geometry",
  "cell": [[-1.646, 1.646, 6.670], [1.646, -1.646, 6.670], [1.646, 1.646, -6.670]],
  "species": ["Y", "Zr", "Cl"],
  "frac_coords": [[0.000, 0.000, 0.000], [0.670, 0.670, 0.000], [0.335, 0.335, 0.000]],
  "raw_formation_energy_ev_per_atom": -0.53
}



{
  "formula": "KGeSb3",
  "functional": "PBE",
  "state": "optimized geometry",
  "cell": [[5.751, 0.000, 0.000], [0.000, 5.751, 0.000], [0.000, 0.000, 5.751]],
  "species": ["K", "Ge", "Sb", "Sb", "Sb"],
  "frac_coords": [[0.000, 0.000, 0.000], [0.500, 0.500, 0.500], [0.000, 0.000, 0.500], [0.000, 0.500, 0.000], [0.500, 0.000, 0.000]],
  "raw_formation_energy_ev_per_atom": 1.43
}



Number 1: size of the total moment 0.1 μB per formula unit. Number 2: size of the total moment 0.0 μB per formula unit. Number 3: size of the total moment 0.0 μB per formula unit. Number 4: size of the total moment 0.0 μB per formula unit. Number 5: size of the total moment 6.6 μB per formula unit. Number 6: size of the total moment 0.3 μB per formula unit. Number 7: size of the total moment 0.0 μB per formula unit. Number 8: size of the total moment 0.0 μB per formula unit. Number 9: size of the total moment 6.7 μB per formula unit. Number 10: size of the total moment 2.8 μB per formula unit. Number 11: size of the total moment 0.0 μB per formula unit. Number 12: size of the total moment 0.0 μB per formula unit. Number 13: size of the total moment 0.0 μB per formula unit. Number 14: size of the total moment 1.4 μB per formula unit. Number 15: size of the total moment 1.7 μB per formula unit. Number 16: size of the total moment 0.0 μB per formula unit. Number 17: size of the total moment 0.5 μB per formula unit. Number 18: size of the total moment 0.0 μB per formula unit. Number 19: size of the total moment 0.0 μB per formula unit. Number 20: size of the total moment 0.0 μB per formula unit.